(1)
SrPt4Pb4 PBE-GGA optimized geometry; spin magnetization = 0.00 μB/atom; Fermi-level density of states = 0.442 states/eV/atom; total energy = -4.845 eV/atom; calculated formation energy = -326 meV/atom; space group = P4_2/n
1.0
-2.9682 -3.3187 -3.4401
-2.3167 -5.3674 7.1769
-7.5148 5.2025 1.4651
Sr Pt Pb
2 8 8
direct
0.0000 0.0000 0.0000 Sr
0.5000 0.5000 0.5000 Sr
0.5960 0.8069 0.3487 Pt
0.5960 0.1931 0.6513 Pt
0.0960 0.8487 0.6931 Pt
0.9040 0.3069 0.8487 Pt
0.9040 0.6931 0.1513 Pt
0.4040 0.3487 0.1931 Pt
0.4040 0.6513 0.8069 Pt
0.0960 0.1513 0.3069 Pt
0.3969 0.3535 0.8834 Pb
0.8969 0.6166 0.8535 Pb
0.3969 0.6465 0.1166 Pb
0.1031 0.1465 0.6166 Pb
0.6031 0.8834 0.6465 Pb
0.1031 0.8535 0.3834 Pb
0.8969 0.3834 0.1465 Pb
0.6031 0.1166 0.3535 Pb



(2)
Sr3Pt2Pb4 PBE-GGA optimized geometry; spin magnetization = 0.00 μB/atom; Fermi-level density of states = 0.264 states/eV/atom; total energy = -4.118 eV/atom; calculated formation energy = -566 meV/atom; space group = C2/m
1.0
-4.4556 -1.4387 -1.3950
0.0223 -5.9852 -2.4535
-2.8403 -6.1476 6.8571
Sr Pt Pb
3 2 4
direct
0.3176 0.7406 0.6242 Sr
0.0000 0.0000 0.0000 Sr
0.6824 0.2594 0.3758 Sr
0.4009 0.9254 0.2728 Pt
0.5991 0.0746 0.7272 Pt
0.2609 0.3787 0.0995 Pb
0.7391 0.6213 0.9005 Pb
0.0201 0.3065 0.6534 Pb
0.9799 0.6935 0.3466 Pb



(3)
SrPtPb2 PBE-GGA optimized geometry; spin magnetization = 0.00 μB/atom; Fermi-level density of states = 0.577 states/eV/atom; total energy = -3.986 eV/atom; calculated formation energy = -202 meV/atom; space group = I-42d
1.0
-3.8095 -2.4861 -0.8086
0.4066 -1.9750 4.1570
-7.8423 5.7504 6.0666
Pb Sr Pt
4 2 2
direct
0.6622 0.1250 0.2500 Pb
0.0878 0.6250 0.2500 Pb
0.3750 0.3378 0.7500 Pb
0.8750 0.9122 0.7500 Pb
0.5000 0.5000 0.0000 Sr
0.2500 0.7500 0.5000 Sr
0.0000 0.0000 0.0000 Pt
0.7500 0.2500 0.5000 Pt



Number 1 is which compound? SrPt4Pb4



calculated formation energy of number 2 (Sr3Pt2Pb4)? -566 meV/atom



The lowest calculated formation energy belongs to which entry? Sr3Pt2Pb4



The lowest calculated formation energy belongs to which entry? Sr3Pt2Pb4